Record 1
DFT (PBE) results for an optimized crystal structure of MgFeRe2.

```
MgFeRe2
1.0
2.643 0.000 0.000
0.000 4.369 0.000
-0.848 0.000 5.080
Mg Fe Re
1 1 2
Cartesian
0.000 0.000 0.000
0.043 2.184 3.949
0.844 0.000 2.571
1.627 2.184 1.414
```

Calculated values
SG: Pm
V: 14.66 A^3/atom
DOS at the Fermi energy: 3.2 states/eV per cell
Raw total energy: -8.496 eV per atom
Formation energy from the elements: 0.2424 eV per atom
Total magnetic moment: 2.08 μB per formula unit


Record 2
DFT (PBE) results for an optimized crystal structure of MgFe2Re.

```
MgFe2Re
1.0
5.429 0.000 0.000
0.000 7.510 0.000
0.000 0.000 2.663
Mg Fe Re
2 4 2
Cartesian
0.000 0.000 0.000
2.715 3.755 0.000
1.357 1.878 1.331
1.357 5.633 1.331
4.072 1.878 1.331
4.072 5.633 1.331
0.000 3.755 0.000
2.715 0.000 0.000
```

Calculated values
SG: Cmmm
V: 13.57 A^3/atom
DOS at the Fermi energy: 7.3 states/eV per cell
Raw total energy: -7.476 eV per atom
Formation energy from the elements: 0.2656 eV per atom
Total magnetic moment: 3.99 μB per formula unit


Record 3
DFT (PBE) results for an optimized crystal structure of MgFeRe2.

```
MgFeRe2
1.0
3.084 0.000 0.000
0.000 4.331 0.000
0.000 0.000 8.845
Mg Fe Re
2 2 4
Cartesian
0.000 0.000 0.000
1.542 2.165 0.000
0.000 0.000 4.423
1.542 2.165 4.423
0.000 2.165 2.360
0.000 2.165 6.485
1.542 0.000 2.360
1.542 0.000 6.485
```

Calculated values
SG: Cmmm
V: 14.77 A^3/atom
DOS at the Fermi energy: 6.1 states/eV per cell
Raw total energy: -8.505 eV per atom
Formation energy from the elements: 0.2337 eV per atom
Total magnetic moment: 2.50 μB per formula unit


Record 4
DFT (PBE) results for an optimized crystal structure of MgFeRe2.

```
MgFeRe2
1.0
3.142 0.000 0.000
0.000 4.227 0.000
0.000 0.000 4.384
Mg Fe Re
1 1 2
Cartesian
0.000 0.000 0.000
1.571 2.113 0.000
0.000 2.113 2.192
1.571 0.000 2.192
```

Calculated values
SG: Pmmm
V: 14.55 A^3/atom
DOS at the Fermi energy: 4.4 states/eV per cell
Raw total energy: -8.424 eV per atom
Formation energy from the elements: 0.3140 eV per atom
Total magnetic moment: 2.10 μB per formula unit


Record 5
DFT (PBE) results for an optimized crystal structure of MgFeRe2.

```
MgFeRe2
1.0
2.747 0.000 0.000
0.000 2.747 0.000
0.000 0.000 7.697
Mg Fe Re
1 1 2
Cartesian
0.000 0.000 0.000
1.374 1.374 5.793
0.000 0.000 4.244
1.374 1.374 2.197
```

Calculated values
SG: P4mm
V: 14.52 A^3/atom
DOS at the Fermi energy: 2.4 states/eV per cell
Raw total energy: -8.500 eV per atom
Formation energy from the elements: 0.2381 eV per atom
Total magnetic moment: 0.00 μB per formula unit


Record 6
DFT (PBE) results for an optimized crystal structure of MgFeRe2.

```
MgFeRe2
1.0
9.049 0.000 0.000
0.000 2.664 0.000
-0.567 0.000 4.906
Mg Fe Re
2 2 4
Cartesian
0.000 0.000 0.000
4.525 1.332 0.000
2.161 1.332 1.067
6.686 0.000 1.067
1.783 0.000 3.465
4.112 0.000 2.417
6.308 1.332 3.465
8.637 1.332 2.417
```

Calculated values
SG: Cm
V: 14.79 A^3/atom
DOS at the Fermi energy: 8.9 states/eV per cell
Raw total energy: -8.421 eV per atom
Formation energy from the elements: 0.3169 eV per atom
Total magnetic moment: 2.25 μB per formula unit